Compound: Tb2Al8Ni
Source: the Alexandria database
Functional: PBE
Structure: relaxed

a = 4.2402 Å, b = 4.2402 Å, c = 11.1227 Å
α = 90.00°, β = 90.00°, γ = 90.00°
Space group P4/mmm (No. 123)
Asymmetric unit:
1 Tb 0.0000 0.0000 0.1920 x2
2 Al 0.0000 0.5000 0.0000 x2
3 Al 0.0000 0.5000 0.3808 x4
4 Al 0.5000 0.5000 0.1971 x2
5 Ni 0.0000 0.0000 0.5000 x1

Summary:
The calculation puts the formation energy from the elements at -450 meV/atom. The total energy comes out at -4.54 eV per atom. The value obtained for the volume is 18.18 Å³/atom.


Compound: TbAlNi4
Source: the Alexandria database
Functional: PBE
Structure: relaxed

a = 3.8327 Å, b = 15.2179 Å, c = 5.8809 Å
α = 90.00°, β = 90.00°, γ = 90.00°
Space group Cmcm (No. 63)
Asymmetric unit:
1 Tb 0.0000 0.1006 0.2500 x4
2 Al 0.0000 0.2315 0.7500 x4
3 Ni 0.0000 0.0777 0.7500 x4
4 Ni 0.0000 0.3341 0.0507 x8
5 Ni 0.0000 0.5000 0.0000 x4

Summary:
The calculation puts the formation energy from the elements at -352 meV/atom. The total energy comes out at -5.60 eV per atom. The value obtained for the volume is 14.29 Å³/atom.


Compound: Tb4Al12Ni
Source: the Alexandria database
Functional: PBE
Structure: relaxed

a = 8.6152 Å, b = 8.6152 Å, c = 8.6152 Å
α = 90.00°, β = 90.00°, γ = 90.00°
Space group Im-3m (No. 229)
Asymmetric unit:
1 Tb 0.2500 0.2500 0.2500 x8
2 Al 0.0000 0.0000 0.2833 x12
3 Al 0.0000 0.2500 0.5000 x12
4 Ni 0.0000 0.0000 0.0000 x2

Summary:
The calculation puts the formation energy from the elements at -493 meV/atom. The total energy comes out at -4.56 eV per atom. The value obtained for the volume is 18.81 Å³/atom.


Compound: TbAl12Ni4
Source: the Alexandria database
Functional: PBE
Structure: relaxed

a = 8.6260 Å, b = 8.6260 Å, c = 8.6260 Å
α = 90.00°, β = 90.00°, γ = 90.00°
Space group Im-3 (No. 204)
Asymmetric unit:
1 Tb 0.0000 0.0000 0.0000 x2
2 Al 0.0000 0.2024 0.3265 x24
3 Ni 0.2500 0.2500 0.2500 x8

Summary:
The calculation puts the formation energy from the elements at -104 meV/atom. The total energy comes out at -4.38 eV per atom. The value obtained for the volume is 18.88 Å³/atom.


Compound: Tb2Al3Ni
Source: the Alexandria database
Functional: PBE
Structure: relaxed

a = 5.5224 Å, b = 5.5224 Å, c = 12.9826 Å
α = 90.00°, β = 90.00°, γ = 120.00°
Space group R-3m (No. 166, hexagonal axes)
Asymmetric unit:
1 Tb 0.0000 0.0000 0.1243 x6
2 Al 0.0000 0.5000 0.0000 x9
3 Ni 0.0000 0.0000 0.5000 x3

Summary:
The calculation puts the formation energy from the elements at -520 meV/atom. The total energy comes out at -4.90 eV per atom. The value obtained for the volume is 19.05 Å³/atom.


Compound: Tb2AlNi9
Source: the Alexandria database
Functional: PBE
Structure: relaxed

a = 4.8678 Å, b = 4.8678 Å, c = 24.3332 Å
α = 90.00°, β = 90.00°, γ = 120.00°
Space group R-3m (No. 166, hexagonal axes)
Asymmetric unit:
1 Tb 0.0000 0.0000 0.1354 x6
2 Al 0.0000 0.0000 0.0000 x3
3 Ni 0.0000 0.0000 0.3331 x6
4 Ni 0.0000 0.0000 0.5000 x3
5 Ni 0.0008 0.5004 0.9190 x18

Summary:
The calculation puts the formation energy from the elements at -257 meV/atom. The total energy comes out at -5.68 eV per atom. The value obtained for the volume is 13.87 Å³/atom.


Compound: Tb7Al2Ni2
Source: the Alexandria database
Functional: PBE
Structure: relaxed

a = 7.8002 Å, b = 10.9759 Å, c = 6.8580 Å
α = 90.00°, β = 90.00°, γ = 90.00°
Space group Cmmm (No. 65)
Asymmetric unit:
1 Tb 0.0000 0.0000 0.0000 x2
2 Tb 0.0000 0.5000 0.2473 x4
3 Tb 0.2500 0.2500 0.2532 x8
4 Al 0.1658 0.0000 0.5000 x4
5 Ni 0.0000 0.2952 0.0000 x4

Summary:
The calculation puts the formation energy from the elements at -176 meV/atom. The total energy comes out at -4.85 eV per atom. The value obtained for the volume is 26.69 Å³/atom.


Compound: Tb11Al9Ni4
Source: the Alexandria database
Functional: PBE
Structure: relaxed

a = 13.9858 Å, b = 21.0297 Å, c = 3.5719 Å
α = 90.00°, β = 90.00°, γ = 90.00°
Space group Cmmm (No. 65)
Asymmetric unit:
1 Tb 0.0000 0.0000 0.0000 x2
2 Tb 0.0000 0.1638 0.0000 x4
3 Tb 0.0000 0.3743 0.0000 x4
4 Tb 0.1893 0.5000 0.0000 x4
5 Tb 0.2419 0.1711 0.0000 x8
6 Al 0.0000 0.5000 0.5000 x2
7 Al 0.1003 0.2677 0.5000 x8
8 Al 0.1507 0.0684 0.5000 x8
9 Ni 0.1554 0.3978 0.5000 x8

Summary:
The calculation puts the formation energy from the elements at -475 meV/atom. The total energy comes out at -4.96 eV per atom. The value obtained for the volume is 21.89 Å³/atom.


Compound: Tb3Al5Ni
Source: the Alexandria database
Functional: PBE
Structure: relaxed

a = 6.9861 Å, b = 6.9861 Å, c = 4.3286 Å
α = 90.00°, β = 90.00°, γ = 120.00°
Space group P-62m (No. 189)
Asymmetric unit:
1 Tb 0.0000 0.4028 0.0000 x3
2 Al 0.0000 0.7703 0.5000 x3
3 Al 0.3333 0.6667 0.5000 x2
4 Ni 0.0000 0.0000 0.0000 x1

Summary:
The calculation puts the formation energy from the elements at -553 meV/atom. The total energy comes out at -4.82 eV per atom. The value obtained for the volume is 20.33 Å³/atom.


Compound: TbAl6Ni3
Source: the Alexandria database
Functional: PBE
Structure: relaxed

a = 7.5030 Å, b = 4.0275 Å, c = 10.4985 Å
α = 90.00°, β = 100.18°, γ = 90.00°
Space group P2_1/m (No. 11)
Asymmetric unit:
1 Tb 0.0521 0.2500 0.2343 x2
2 Al 0.1012 0.2500 0.5714 x2
3 Al 0.2510 0.7500 0.0250 x2
4 Al 0.3298 0.2500 0.8612 x2
5 Al 0.3386 0.7500 0.6864 x2
6 Al 0.3884 0.7500 0.2710 x2
7 Al 0.3960 0.2500 0.4611 x2
8 Ni 0.0807 0.2500 0.9687 x2
9 Ni 0.2287 0.7500 0.4578 x2
10 Ni 0.4452 0.2500 0.1136 x2

Summary:
The calculation puts the formation energy from the elements at -478 meV/atom. The total energy comes out at -4.92 eV per atom. The value obtained for the volume is 15.61 Å³/atom.


What is the formation energy from the elements in the first record? -450 meV/atom


Number 6 is which compound? Tb2AlNi9


What is the formula in the ninth record? Tb3Al5Ni